An optimized crystal structure of Sm6Er3Tm2. Source: the Alexandria database, functional GGA-PBE. Values from VASP.

Cell and atoms, written as Quantum ESPRESSO input:
```
&SYSTEM
  ibrav = 0, nat = 11, ntyp = 3
/
ATOMIC_SPECIES
Tm 168.93 Tm.upf
Sm 150.36 Sm.upf
Er 167.26 Er.upf
CELL_PARAMETERS angstrom
4.739 0.000 0.000
0.000 4.739 0.000
-2.370 -2.370 16.655
ATOMIC_POSITIONS angstrom
Tm 2.370 2.370 1.512
Tm 0.000 0.000 15.142
Sm 2.370 0.000 4.001
Sm 0.000 0.000 10.025
Sm 2.370 0.000 12.653
Sm 0.000 2.370 4.001
Sm 2.370 2.370 6.630
Sm 0.000 2.370 12.653
Er 0.000 0.000 6.591
Er 2.370 2.370 10.064
Er 0.000 0.000 0.000
```

Output
energy of formation from the pure elements = 303 meV/atom